Entry 1:
First-principles (PBE-GGA) data for crystalline MgTa2Cl at its relaxed geometry, as listed in the Alexandria database.

```
4
Lattice="3.020 0.027 0.000 -1.038 2.836 0.000 0.000 0.000 9.063" Properties=species:S:1:pos:R:3 pbc="T T T"
Cl 0.000 0.000 4.295
Mg 0.991 1.432 6.893
Ta 0.000 0.000 0.154
Ta 0.991 1.432 2.252
```

ΔE_f (raw): -0.24 eV/f.u.
mass density: 8.99 g cm⁻³
symmetry: No. 35

Entry 2:
First-principles (PBE-GGA) data for crystalline Sb3ICl at its relaxed geometry, as listed in the Alexandria database.

```
5
Lattice="-3.564 3.789 1.719 -1.762 0.676 -5.143 -3.770 -3.898 0.779" Properties=species:S:1:pos:R:3 pbc="T T T"
I -4.548 0.284 -1.322
Sb -0.881 0.338 -2.572
Sb -1.885 -1.949 0.390
Sb -1.782 1.895 0.860
Cl 0.000 0.000 0.000
```

ΔE_f (raw): 3.98 eV/f.u.
mass density: 5.33 g cm⁻³
symmetry: No. 221

One value per record, in order, for energy above the most stable polymorph in this dataset: 0.00; 0.00 eV/f.u..